# 1
## Ca2TlRh (SCAN)

Data for Ca2TlRh at its PBEsol-relaxed geometry.

Computed properties:
V (A^3/atom): 23.28
Final energy (eV per atom): -31.8157
Energy relative to the elements (meV per atom): -452
ΔE to the lowest computed polymorph (eV per formula unit): 0.00
Space group: P4/mmm (123)

Cell: 3.498 3.498 7.610 Å, 90.00 90.00 90.00°
Element x y z (fractional)
Rh  0.500  0.500  0.000
Ca  0.000  0.000  0.212
Tl  0.500  0.500  0.500
Ca  0.000  0.000  0.788


# 2
## Mg3Tc (SCAN)

Data for Mg3Tc at its PBEsol-relaxed geometry.

Computed properties:
V (A^3/atom): 17.52
Final energy (eV per atom): -12.3134
Energy relative to the elements (meV per atom): 182
Space group: Pm-3m (221)

Cell: 4.123 4.123 4.123 Å, 90.00 90.00 90.00°
Each line ends with the local moment (μB).
Element x y z (fractional)
Mg  0.000  0.500  0.500  -0.01
Mg  0.500  0.500  0.000  -0.01
Tc  0.000  0.000  0.000  0.95
Mg  0.500  0.000  0.500  -0.01


# 3
## MgTl2H12Se2O14 (SCAN)

Data for MgTl2H12Se2O14 at its PBEsol-relaxed geometry.

Computed properties:
V (A^3/atom): 11.27
Final energy (eV per atom): -11.4222
Space group: P2_1/c (14)

Cell: 6.315 9.211 12.387 Å, 90.00 90.00 104.08°
Element x y z (fractional)
O  0.288  0.988  0.067
O  0.712  0.012  0.933
O  0.166  0.666  0.607
H  0.339  0.895  0.057
O  0.978  0.669  0.387
H  0.339  0.395  0.443
H  0.334  0.025  0.141
O  0.834  0.834  0.107
O  0.764  0.567  0.935
H  0.995  0.354  0.690
O  0.438  0.586  0.241
Mg  0.000  0.500  0.500
O  0.022  0.331  0.613
O  0.406  0.731  0.054
Se  0.724  0.909  0.634
O  0.406  0.231  0.446
H  0.995  0.854  0.810
H  0.680  0.786  0.085
Tl  0.333  0.140  0.661
H  0.921  0.230  0.597
O  0.038  0.121  0.323
O  0.962  0.879  0.677
H  0.661  0.105  0.943
H  0.680  0.286  0.415
O  0.438  0.086  0.259
H  0.908  0.252  0.376
H  0.661  0.605  0.557
Se  0.276  0.591  0.134
H  0.320  0.714  0.585
Se  0.724  0.409  0.866
O  0.562  0.414  0.759
H  0.005  0.646  0.310
O  0.594  0.269  0.946
H  0.666  0.975  0.859
O  0.038  0.621  0.177
H  0.079  0.270  0.097
Tl  0.667  0.860  0.339
H  0.005  0.146  0.190
H  0.092  0.748  0.624
Tl  0.333  0.640  0.839
H  0.092  0.248  0.876
O  0.834  0.334  0.393
H  0.921  0.730  0.903
O  0.236  0.433  0.065
H  0.079  0.770  0.403
O  0.594  0.769  0.554
H  0.320  0.214  0.915
O  0.978  0.169  0.113
Mg  0.000  0.000  0.000
H  0.666  0.475  0.641
Se  0.276  0.091  0.366
O  0.764  0.067  0.565
H  0.334  0.525  0.359
O  0.236  0.933  0.435
O  0.962  0.379  0.823
O  0.712  0.512  0.567
O  0.166  0.166  0.893
O  0.288  0.488  0.433
Tl  0.667  0.360  0.161
O  0.022  0.831  0.887
H  0.908  0.752  0.124
O  0.562  0.914  0.741